[1]
# SrTbAgS3

A geometry-optimized SrTbAgS3 structure (PBE, Alexandria via LeMat-Bulk). Values from VASP.

Values from the calculation:
The space-group type is P2_1/m.

The structure in Quantum ESPRESSO input format:
```
&SYSTEM
  ibrav = 0, nat = 12, ntyp = 4
/
ATOMIC_SPECIES
Sr 87.62 Sr.upf
Tb 158.93 Tb.upf
Ag 107.87 Ag.upf
S 32.06 S.upf
ATOMIC_POSITIONS crystal
Sr 0.197 0.250 0.237
Sr 0.803 0.750 0.763
Tb 0.327 0.750 0.835
Tb 0.673 0.250 0.165
Ag 0.097 0.250 0.588
Ag 0.903 0.750 0.412
S 0.104 0.250 0.872
S 0.254 0.750 0.513
S 0.439 0.750 0.154
S 0.561 0.250 0.846
S 0.746 0.250 0.487
S 0.896 0.750 0.128
CELL_PARAMETERS angstrom
8.245 0.000 0.000
0.000 4.046 0.000
-2.163 0.000 8.683
```


[2]
# SrAg2TeS4

A geometry-optimized SrAg2TeS4 structure (PBE, Alexandria via LeMat-Bulk). Values from VASP.

Values from the calculation:
The space-group type is Imma. The density of states at the Fermi level is 5.09 states/eV/cell.

The structure in Quantum ESPRESSO input format:
```
&SYSTEM
  ibrav = 0, nat = 16, ntyp = 4
/
ATOMIC_SPECIES
Sr 87.62 Sr.upf
Ag 107.87 Ag.upf
Te 127.60 Te.upf
S 32.06 S.upf
ATOMIC_POSITIONS crystal
Sr 0.000 0.000 0.000
Sr 0.500 0.000 0.500
Ag 0.000 0.500 0.500
Ag 0.500 0.000 0.000
Ag 0.500 0.500 0.000
Ag 0.500 0.500 0.500
Te 0.000 0.000 0.500
Te 0.000 0.500 0.000
S 0.214 0.239 0.525
S 0.214 0.689 0.975
S 0.256 0.244 0.012
S 0.268 0.756 0.512
S 0.732 0.244 0.488
S 0.744 0.756 0.988
S 0.786 0.311 0.025
S 0.786 0.761 0.475
CELL_PARAMETERS angstrom
-3.845 3.916 6.171
3.845 -3.916 6.171
3.845 3.916 -6.171
```


[3]
# SrAgTe2S4

A geometry-optimized SrAgTe2S4 structure (PBE, Alexandria via LeMat-Bulk). Values from VASP.

Values from the calculation:
The space-group type is I-42m. The density of states at the Fermi level is 1.93 states/eV/cell.

The structure in Quantum ESPRESSO input format:
```
&SYSTEM
  ibrav = 0, nat = 8, ntyp = 4
/
ATOMIC_SPECIES
Sr 87.62 Sr.upf
Ag 107.87 Ag.upf
Te 127.60 Te.upf
S 32.06 S.upf
ATOMIC_POSITIONS crystal
Sr 0.000 0.000 0.000
Ag 0.500 0.500 0.000
Te 0.250 0.750 0.500
Te 0.750 0.250 0.500
S 0.100 0.100 0.581
S 0.481 0.900 0.000
S 0.519 0.519 0.419
S 0.900 0.481 0.000
CELL_PARAMETERS angstrom
-3.644 3.644 3.703
3.644 -3.644 3.703
3.644 3.644 -3.703
```


[4]
# Sr2TlAgS4

A geometry-optimized Sr2TlAgS4 structure (PBE, Alexandria via LeMat-Bulk). Values from VASP.

Values from the calculation:
The space-group type is Imma. The density of states at the Fermi level is 3.67 states/eV/cell.

The structure in Quantum ESPRESSO input format:
```
&SYSTEM
  ibrav = 0, nat = 16, ntyp = 4
/
ATOMIC_SPECIES
Sr 87.62 Sr.upf
Tl 204.38 Tl.upf
Ag 107.87 Ag.upf
S 32.06 S.upf
ATOMIC_POSITIONS crystal
Sr 0.000 0.000 0.000
Sr 0.500 0.000 0.000
Sr 0.500 0.000 0.500
Sr 0.500 0.500 0.500
Tl 0.000 0.000 0.500
Tl 0.000 0.500 0.000
Ag 0.000 0.500 0.500
Ag 0.500 0.500 0.000
S 0.230 0.227 0.497
S 0.230 0.733 0.003
S 0.234 0.735 0.499
S 0.264 0.265 0.999
S 0.736 0.735 0.001
S 0.766 0.265 0.501
S 0.770 0.267 0.997
S 0.770 0.773 0.503
CELL_PARAMETERS angstrom
-4.226 4.277 5.543
4.226 -4.277 5.543
4.226 4.277 -5.543
```


[5]
# SrTm2AgS4

A geometry-optimized SrTm2AgS4 structure (PBE, Alexandria via LeMat-Bulk). Values from VASP.

Values from the calculation:
The space-group type is Cmcm. The density of states at the Fermi level is 3.51 states/eV/cell.

The structure in Quantum ESPRESSO input format:
```
&SYSTEM
  ibrav = 0, nat = 16, ntyp = 4
/
ATOMIC_SPECIES
Sr 87.62 Sr.upf
Tm 168.93 Tm.upf
Ag 107.87 Ag.upf
S 32.06 S.upf
ATOMIC_POSITIONS crystal
Sr 0.130 0.870 0.750
Sr 0.870 0.130 0.250
Tm 0.376 0.624 0.559
Tm 0.376 0.624 0.941
Tm 0.624 0.376 0.059
Tm 0.624 0.376 0.441
Ag 0.146 0.854 0.250
Ag 0.854 0.146 0.750
S 0.000 0.000 0.000
S 0.000 0.000 0.500
S 0.270 0.730 0.110
S 0.270 0.730 0.390
S 0.464 0.536 0.750
S 0.536 0.464 0.250
S 0.730 0.270 0.610
S 0.730 0.270 0.890
CELL_PARAMETERS angstrom
1.987 -6.600 0.000
1.987 6.600 0.000
0.000 0.000 13.708
```


[6]
# Sr2TmAgS4

A geometry-optimized Sr2TmAgS4 structure (PBE, Alexandria via LeMat-Bulk). Values from VASP.

Values from the calculation:
The space-group type is P2/m.

The structure in Quantum ESPRESSO input format:
```
&SYSTEM
  ibrav = 0, nat = 8, ntyp = 4
/
ATOMIC_SPECIES
Sr 87.62 Sr.upf
Tm 168.93 Tm.upf
Ag 107.87 Ag.upf
S 32.06 S.upf
ATOMIC_POSITIONS crystal
Sr 0.000 0.000 0.000
Sr 0.000 0.500 0.500
Tm 0.500 0.000 0.500
Ag 0.500 0.500 0.000
S 0.270 0.500 0.271
S 0.274 0.000 0.745
S 0.726 0.000 0.255
S 0.730 0.500 0.729
CELL_PARAMETERS angstrom
7.030 0.000 0.000
0.000 4.104 0.000
-2.453 0.000 6.724
```


[7]
# Sr3Tm3AgS8

A geometry-optimized Sr3Tm3AgS8 structure (PBE, Alexandria via LeMat-Bulk). Values from VASP.

Values from the calculation:
The space-group type is R-3m. The density of states at the Fermi level is 0.01 states/eV/cell.

The structure in Quantum ESPRESSO input format:
```
&SYSTEM
  ibrav = 0, nat = 15, ntyp = 4
/
ATOMIC_SPECIES
Sr 87.62 Sr.upf
Tm 168.93 Tm.upf
Ag 107.87 Ag.upf
S 32.06 S.upf
ATOMIC_POSITIONS crystal
Sr 0.000 0.500 0.500
Sr 0.500 0.000 0.500
Sr 0.500 0.500 0.000
Tm 0.000 0.000 0.500
Tm 0.000 0.500 0.000
Tm 0.500 0.000 0.000
Ag 0.500 0.500 0.500
S 0.226 0.749 0.749
S 0.242 0.242 0.242
S 0.251 0.251 0.774
S 0.251 0.774 0.251
S 0.749 0.226 0.749
S 0.749 0.749 0.226
S 0.758 0.758 0.758
S 0.774 0.251 0.251
CELL_PARAMETERS angstrom
3.995 2.307 6.738
-3.995 2.307 6.738
0.000 -4.613 6.738
```


[8]
# Sr4Tm3AgS8

A geometry-optimized Sr4Tm3AgS8 structure (PBE, Alexandria via LeMat-Bulk). Values from VASP.

Values from the calculation:
The space-group type is R-3m. The density of states at the Fermi level is 4.22 states/eV/cell.

The structure in Quantum ESPRESSO input format:
```
&SYSTEM
  ibrav = 0, nat = 16, ntyp = 4
/
ATOMIC_SPECIES
Sr 87.62 Sr.upf
Tm 168.93 Tm.upf
Ag 107.87 Ag.upf
S 32.06 S.upf
ATOMIC_POSITIONS crystal
Sr 0.000 0.000 0.000
Sr 0.000 0.500 0.500
Sr 0.500 0.000 0.500
Sr 0.500 0.500 0.000
Tm 0.000 0.000 0.500
Tm 0.000 0.500 0.000
Tm 0.500 0.000 0.000
Ag 0.500 0.500 0.500
S 0.233 0.747 0.747
S 0.241 0.241 0.241
S 0.253 0.253 0.767
S 0.253 0.767 0.253
S 0.747 0.233 0.747
S 0.747 0.747 0.233
S 0.759 0.759 0.759
S 0.767 0.253 0.253
CELL_PARAMETERS angstrom
4.051 2.339 6.670
-4.051 2.339 6.670
0.000 -4.678 6.670
```


[9]
# SrU3Ag4S12

A geometry-optimized SrU3Ag4S12 structure (PBE, Alexandria via LeMat-Bulk). Values from VASP.

Values from the calculation:
The space-group type is R32.

The structure in Quantum ESPRESSO input format:
```
&SYSTEM
  ibrav = 0, nat = 20, ntyp = 4
/
ATOMIC_SPECIES
Sr 87.62 Sr.upf
U 238.03 U.upf
Ag 107.87 Ag.upf
S 32.06 S.upf
ATOMIC_POSITIONS crystal
Sr 0.000 0.000 0.000
U 0.000 0.567 0.433
U 0.433 0.000 0.567
U 0.567 0.433 0.000
Ag 0.138 0.500 0.862
Ag 0.500 0.500 0.500
Ag 0.500 0.862 0.138
Ag 0.862 0.138 0.500
S 0.017 0.670 0.745
S 0.103 0.897 0.500
S 0.255 0.330 0.983
S 0.330 0.983 0.255
S 0.331 0.669 0.500
S 0.500 0.103 0.897
S 0.500 0.331 0.669
S 0.669 0.500 0.331
S 0.670 0.745 0.017
S 0.745 0.017 0.670
S 0.897 0.500 0.103
S 0.983 0.255 0.330
CELL_PARAMETERS angstrom
7.081 4.088 3.161
-7.081 4.088 3.161
0.000 -8.176 3.161
```


[10]
# SrUAgS4

A geometry-optimized SrUAgS4 structure (PBE, Alexandria via LeMat-Bulk). Values from VASP.

Values from the calculation:
The space-group type is P2_1/m. The density of states at the Fermi level is 11.42 states/eV/cell.

The structure in Quantum ESPRESSO input format:
```
&SYSTEM
  ibrav = 0, nat = 14, ntyp = 4
/
ATOMIC_SPECIES
Sr 87.62 Sr.upf
U 238.03 U.upf
Ag 107.87 Ag.upf
S 32.06 S.upf
ATOMIC_POSITIONS crystal
Sr 0.199 0.250 0.045
Sr 0.801 0.750 0.955
U 0.207 0.250 0.552
U 0.793 0.750 0.448
Ag 0.253 0.750 0.332
Ag 0.747 0.250 0.668
S 0.025 0.515 0.720
S 0.025 0.985 0.720
S 0.480 0.250 0.383
S 0.498 0.250 0.845
S 0.502 0.750 0.155
S 0.520 0.750 0.617
S 0.975 0.015 0.280
S 0.975 0.485 0.280
CELL_PARAMETERS angstrom
6.635 0.000 0.000
0.000 6.870 0.000
-2.240 0.000 7.670
```


[11]
# Sr2UAg3S6

A geometry-optimized Sr2UAg3S6 structure (PBE, Alexandria via LeMat-Bulk). Values from VASP.

Values from the calculation:
The space-group type is C2/m. The density of states at the Fermi level is 0.01 states/eV/cell.

The structure in Quantum ESPRESSO input format:
```
&SYSTEM
  ibrav = 0, nat = 12, ntyp = 4
/
ATOMIC_SPECIES
Sr 87.62 Sr.upf
U 238.03 U.upf
Ag 107.87 Ag.upf
S 32.06 S.upf
ATOMIC_POSITIONS crystal
Sr 0.174 0.826 0.000
Sr 0.826 0.174 0.000
U 0.500 0.500 0.000
Ag 0.000 0.000 0.500
Ag 0.379 0.621 0.500
Ag 0.621 0.379 0.500
S 0.143 0.435 0.752
S 0.237 0.237 0.220
S 0.435 0.143 0.752
S 0.565 0.857 0.248
S 0.763 0.763 0.780
S 0.857 0.565 0.248
CELL_PARAMETERS angstrom
3.599 -6.597 0.000
3.599 6.597 0.000
-1.766 0.000 6.073
```


[12]
# SrVAg2S4

A geometry-optimized SrVAg2S4 structure (PBE, Alexandria via LeMat-Bulk). Values from VASP.

Values from the calculation:
The space-group type is I-42m. The density of states at the Fermi level is 3.83 states/eV/cell.

The structure in Quantum ESPRESSO input format:
```
&SYSTEM
  ibrav = 0, nat = 8, ntyp = 4
/
ATOMIC_SPECIES
Sr 87.62 Sr.upf
V 50.94 V.upf
Ag 107.87 Ag.upf
S 32.06 S.upf
ATOMIC_POSITIONS crystal
Sr 0.000 0.000 0.000
V 0.500 0.500 0.000
Ag 0.250 0.750 0.500
Ag 0.750 0.250 0.500
S 0.147 0.147 0.621
S 0.475 0.853 0.000
S 0.525 0.525 0.379
S 0.853 0.475 0.000
CELL_PARAMETERS angstrom
-3.430 3.430 3.850
3.430 -3.430 3.850
3.430 3.430 -3.850
```


One value per record, in order, for density: 5167 4997 4887 5103 6111 4968 5055 5349 4893 5337 5350 4421 kg/m3.
One value per record, in order, for energy relative to the elements, uncorrected: -36.88 -10.26 -10.51 -23.15 -37.74 -38.36 -41.81 -42.57 -18.80 -26.28 -25.34 -18.77 kcal/mol of atoms.